A geometry-optimized ScSb2Pt2 structure, computed with PBE.

## Properties
size of the total moment: 0.0 μB/f.u.
space group: P4/mbm (127)
formation energy (no corrections): -53.9 kJ/mol of atoms
relative energy among the computed polymorphs: 0.00 kcal/mol of atoms
Fermi-level density of states: 6.07 states/eV/cell

Unit cell a=7.259 b=7.259 c=3.936 alpha=90.00 beta=90.00 gamma=90.00
Sites, in units of the cell vectors:
Sc1 0.500 0.500 0.000
Pt1 0.368 0.868 0.000
Sb1 0.821 0.321 0.500
Sc2 0.000 0.000 0.000
Sb2 0.179 0.679 0.500
Pt2 0.132 0.368 0.000
Pt3 0.868 0.632 0.000
Pt4 0.632 0.132 0.000
Sb3 0.679 0.821 0.500
Sb4 0.321 0.179 0.500